Computed, not measured: a relaxed CdIrC2O crystal at the PBE-GGA level of DFT.

Calculated values
- formation energy (no corrections) (kJ per mole of atoms) = 215.5

abc: 4.1025 3.8450 4.1025
angles: 90.00 90.00 90.00
With the nearest neighbours (Å) after each atom.
Positions (direct):
1 C 0.0000 0.0000 0.5000  2 O 2.05
2 C 0.5000 0.0000 0.0000  2 O 2.05
3 Ir 0.0000 0.5000 0.0000  2 O 1.92
4 O 0.0000 0.0000 0.0000  2 Ir 1.92, 4 C 2.05
5 Cd 0.5000 0.5000 0.5000  8 C 2.81, 4 Ir 2.90

***

Computed, not measured: a relaxed UInI5 crystal at the PBE-GGA level of DFT.

Calculated values
- formation energy (no corrections) (kJ per mole of atoms) = -65.8

abc: 8.3198 8.3198 11.9498
angles: 70.05 70.05 69.47
With the nearest neighbours (Å) after each atom.
Positions (direct):
1 U 0.0000 0.0000 0.0000  6 I 2.95-3.11
2 U 0.0000 0.0000 0.5000  6 I 2.95-3.11
3 In 0.5271 0.4729 0.7500  5 I 3.41-3.63
4 In 0.4729 0.5271 0.2500  5 I 3.41-3.63
5 I 0.3241 0.1237 0.8718  1 U 2.95
6 I 0.3705 0.7858 0.5128  1 U 3.00
7 I 0.1237 0.3241 0.3718  1 U 2.95
8 I 0.9104 0.0896 0.7500  2 U 3.11
9 I 0.2142 0.6295 0.9872  1 U 3.00
10 I 0.7858 0.3705 0.0128  1 U 3.00
11 I 0.0896 0.9104 0.2500  2 U 3.11
12 I 0.8763 0.6759 0.6282  1 U 2.95
13 I 0.6295 0.2142 0.4872  1 U 3.00
14 I 0.6759 0.8763 0.1282  1 U 2.95

***

Computed, not measured: a relaxed YPu2ZrN4 crystal at the PBE-GGA level of DFT.

Calculated values
- formation energy (no corrections) (kJ per mole of atoms) = -141.4

abc: 3.4172 5.9142 5.9360
angles: 109.77 90.00 90.00
With the nearest neighbours (Å) after each atom.
Positions (direct):
1 Y 0.5000 0.5000 0.0000  6 N 2.43-2.44
2 Pu 0.5000 0.0000 0.5000  6 N 2.39-2.42
3 Pu 0.0000 0.5000 0.5000  6 N 2.46-2.51
4 Zr 0.0000 0.0000 0.0000  6 N 2.33-2.36
5 N 0.5000 0.2390 0.2402  2 Zr 2.36, 3 Pu 2.42-2.46, 1 Y 2.43
6 N 0.5000 0.7610 0.7598  2 Zr 2.36, 3 Pu 2.42-2.46, 1 Y 2.43
7 N 0.0000 0.2345 0.7531  1 Zr 2.33, 3 Pu 2.39-2.51, 2 Y 2.44
8 N 0.0000 0.7655 0.2469  1 Zr 2.33, 3 Pu 2.39-2.51, 2 Y 2.44

***

Computed, not measured: a relaxed NaTiMn2 crystal at the PBE-GGA level of DFT.

Calculated values
- distance to the lowest polymorph of the same formula (meV per atom) = 0
- formation energy (eV per atom) = 0.6714

abc: 4.5565 4.5565 4.5565
angles: 60.00 60.00 60.00
With the nearest neighbours (Å) after each atom.
Positions (direct):
1 Na 0.0000 0.0000 0.0000  8 Mn 2.79
2 Mn 0.2500 0.2500 0.2500  4 Na 2.79, 4 Ti 2.79
3 Mn 0.7500 0.7500 0.7500  4 Ti 2.79, 4 Na 2.79
4 Ti 0.5000 0.5000 0.5000  8 Mn 2.79

***

Computed, not measured: a relaxed PrNdDy3Ho crystal at the PBE-GGA level of DFT.

Calculated values
- formation energy (eV per atom) = 0.1867

abc: 5.6724 10.3220 7.0664
angles: 90.22 90.00 105.95
With the nearest neighbours (Å) after each atom.
Positions (direct):
1 Pr 0.3535 0.7071 0.9706  1 Ho 3.05, 2 Dy 3.19-3.30
2 Pr 0.6465 0.2929 0.0294  1 Ho 3.05, 2 Dy 3.19-3.30
3 Nd 0.0534 0.1067 0.2627  3 Dy 3.21-3.31
4 Nd 0.9466 0.8933 0.7373  3 Dy 3.21-3.31
5 Dy 0.8341 0.6682 0.2657  2 Ho 3.45, 2 Pr 3.54, 4 Dy 3.61-3.77
6 Dy 0.7799 0.5598 0.7533  3 Pr 3.30-3.54, 3 Ho 3.30-3.50, 1 Nd 3.31, 3 Dy 3.61-3.63
7 Dy 0.4775 0.9551 0.2595  1 Pr 3.19, 2 Nd 3.21, 1 Ho 3.22, 1 Dy 3.51
8 Dy 0.2201 0.4402 0.2467  3 Pr 3.30-3.54, 3 Ho 3.30-3.50, 1 Nd 3.31, 3 Dy 3.61-3.63
9 Dy 0.5225 0.0449 0.7405  1 Pr 3.19, 2 Nd 3.21, 1 Ho 3.22, 1 Dy 3.51
10 Dy 0.1659 0.3318 0.7343  2 Ho 3.45, 2 Pr 3.54, 4 Dy 3.61-3.77
11 Ho 0.6499 0.2998 0.4603  1 Pr 3.05, 2 Dy 3.22-3.30
12 Ho 0.3501 0.7002 0.5397  1 Pr 3.05, 2 Dy 3.22-3.30

***

Computed, not measured: a relaxed Re2Te2Pd crystal at the PBE-GGA level of DFT.

Calculated values
- formation energy (no corrections) (kJ per mole of atoms) = 80.4
- distance to the lowest polymorph of the same formula (meV per atom) = 260

abc: 7.6719 7.6719 3.1546
angles: 90.00 90.00 90.00
With the nearest neighbours (Å) after each atom.
Positions (direct):
1 Re 0.1428 0.6428 0.5000  6 Te 2.71-2.77
2 Re 0.6428 0.8572 0.5000  6 Te 2.71-2.77
3 Re 0.8572 0.3572 0.5000  6 Te 2.71-2.77
4 Re 0.3572 0.1428 0.5000  6 Te 2.71-2.77
5 Te 0.3458 0.8458 0.0000  6 Re 2.71-2.77, 2 Pd 2.90
6 Te 0.8458 0.6542 0.0000  6 Re 2.71-2.77, 2 Pd 2.90
7 Te 0.6542 0.1542 0.0000  6 Re 2.71-2.77, 2 Pd 2.90
8 Te 0.1542 0.3458 0.0000  6 Re 2.71-2.77, 2 Pd 2.90
9 Pd 0.0000 0.0000 0.0000  4 Te 2.90, 2 Pd 3.15
10 Pd 0.5000 0.5000 0.0000  4 Te 2.90, 2 Pd 3.15

***

Computed, not measured: a relaxed InPt2Rh crystal at the PBE-GGA level of DFT.

Calculated values
- formation energy (eV per atom) = -0.2226

abc: 4.9023 4.9023 4.7776
angles: 78.96 78.96 35.57
With the nearest neighbours (Å) after each atom.
Positions (direct):
1 In 0.5000 0.5000 0.0000  4 Rh 2.82, 6 Pt 2.84-2.85, 2 In 3.00
2 Pt 0.2507 0.2507 0.7409  6 Pt 2.75-3.00, 3 Rh 2.81, 3 In 2.84-2.85
3 Pt 0.7493 0.7493 0.2591  6 Pt 2.75-3.00, 3 Rh 2.81, 3 In 2.84-2.85
4 Rh 0.0000 0.0000 0.5000  6 Pt 2.81, 4 In 2.82, 2 Rh 3.00

***

Computed, not measured: a relaxed PmCdI2 crystal at the PBE-GGA level of DFT.

Calculated values
- formation energy (no corrections) (kJ per mole of atoms) = -26.4

abc: 4.2251 4.2251 10.5162
angles: 78.41 78.41 60.00
With the nearest neighbours (Å) after each atom.
Positions (direct):
1 I 0.0982 0.0982 0.7053  1 Pm 3.01, 3 Cd 3.22
2 I 0.9018 0.9018 0.2947  1 Pm 3.01, 3 Cd 3.22
3 Cd 0.5000 0.5000 0.5000  6 I 3.22
4 Pm 0.0000 0.0000 0.0000  2 I 3.01

***

| no. | total magnetic moment (μB per formula unit) |
| --- | --- |
| 1 | 0.91 |
| 2 | 2.00 |
| 3 | 0.33 |
| 4 | 4.91 |
| 5 | 0.00 |
| 6 | 0.00 |
| 7 | 0.00 |
| 8 | 0.00 |